# 1
# SbO, optimized geometry, DFT PBE
# Uncorrected formation energy, eV per atom: -0.378
# Calculated volume, Å³ per atom: 16.662
# Energy, eV/atom: -4.9179
# Total magnetization, μB/cell: 0.000
data_SbO
_symmetry_space_group_name_H-M 'F m -3 m'
_symmetry_Int_Tables_number 225
_symmetry_space_group_name_Hall '-F 4 2 3'
_cell_length_a 5.108
_cell_length_b 5.108
_cell_length_c 5.108
_cell_angle_alpha 90.00
_cell_angle_beta 90.00
_cell_angle_gamma 90.00
loop_
_atom_site_label
_atom_site_fract_x
_atom_site_fract_y
_atom_site_fract_z
Sb1 0.000 0.000 0.000
O1 0.000 0.000 0.500


# 2
# Sm4Si3, optimized geometry, DFT PBE
# Uncorrected formation energy, eV per atom: -0.675
# Calculated volume, Å³ per atom: 25.906
# Energy, eV/atom: -5.6961
# Total magnetization, μB/cell: 0.000
data_Sm4Si3
_symmetry_space_group_name_H-M 'I -4 3 d'
_symmetry_Int_Tables_number 220
_symmetry_space_group_name_Hall 'I -4bd 2c 3'
_cell_length_a 8.985
_cell_length_b 8.985
_cell_length_c 8.985
_cell_angle_alpha 90.00
_cell_angle_beta 90.00
_cell_angle_gamma 90.00
loop_
_atom_site_label
_atom_site_fract_x
_atom_site_fract_y
_atom_site_fract_z
Sm1 0.066 0.434 0.566
Si1 0.000 0.250 0.875


# 3
# La2Pm2ThMg5, optimized geometry, DFT PBE
# Calculated volume, Å³ per atom: 29.936
# Energy, eV/atom: -3.4191
# E_form, meV/atom: 56
# Total magnetization, μB/cell: 0.001
data_La2Pm2ThMg5
_symmetry_space_group_name_H-M 'P 4/m b m'
_symmetry_Int_Tables_number 127
_symmetry_space_group_name_Hall '-P 4 2ab'
_cell_length_a 10.686
_cell_length_b 10.686
_cell_length_c 5.243
_cell_angle_alpha 90.00
_cell_angle_beta 90.00
_cell_angle_gamma 90.00
loop_
_atom_site_label
_atom_site_fract_x
_atom_site_fract_y
_atom_site_fract_z
La1 0.176 0.324 0.000
Pm1 0.124 0.624 0.000
Th1 0.000 0.000 0.000
Mg1 0.000 0.500 0.500
Mg2 0.075 0.805 0.500


# 4
# NdHo6Sc, optimized geometry, DFT PBE
# Offset from the most stable computed form, meV per atom: 0
# Calculated volume, Å³ per atom: 30.554
# Energy, eV/atom: -4.7890
# E_form, meV/atom: 32
# Total magnetization, μB/cell: 0.000
data_NdHo6Sc
_symmetry_space_group_name_H-M 'P 4/m m m'
_symmetry_Int_Tables_number 123
_symmetry_space_group_name_Hall '-P 4 2'
_cell_length_a 7.028
_cell_length_b 7.028
_cell_length_c 4.949
_cell_angle_alpha 90.00
_cell_angle_beta 90.00
_cell_angle_gamma 90.00
loop_
_atom_site_label
_atom_site_fract_x
_atom_site_fract_y
_atom_site_fract_z
Nd1 0.000 0.000 0.000
Ho1 0.000 0.500 0.000
Ho2 0.255 0.255 0.500
Sc1 0.500 0.500 0.000


# 5
# Cr5Ag, optimized geometry, DFT PBE
# Offset from the most stable computed form, meV per atom: 140
# Calculated volume, Å³ per atom: 13.457
# Energy, eV/atom: -7.9469
# E_form, meV/atom: 548
# Total magnetization, μB/cell: 0.000
data_Cr5Ag
_symmetry_space_group_name_H-M 'P 6/m m m'
_symmetry_Int_Tables_number 191
_symmetry_space_group_name_Hall '-P 6 2'
_cell_length_a 4.8756
_cell_length_b 4.8756
_cell_length_c 3.9222
_cell_angle_alpha 90.00
_cell_angle_beta 90.00
_cell_angle_gamma 120.00
loop_
_atom_site_label
_atom_site_fract_x
_atom_site_fract_y
_atom_site_fract_z
Cr1 0.0000 0.5000 0.0000
Cr2 0.3333 0.6667 0.5000
Ag1 0.0000 0.0000 0.5000


# 6
# PrSm2Sc2, optimized geometry, DFT PBE
# Calculated volume, Å³ per atom: 30.223
# Energy, eV/atom: -5.3168
# E_form, meV/atom: 59
# Total magnetization, μB/cell: 0.000
data_PrSm2Sc2
_symmetry_space_group_name_H-M 'P -1'
_symmetry_Int_Tables_number 2
_cell_length_a 4.930
_cell_length_b 6.038
_cell_length_c 6.080
_cell_angle_alpha 80.19
_cell_angle_beta 66.09
_cell_angle_gamma 65.97
loop_
_symmetry_equiv_pos_as_xyz
'x,y,z'
'-x,-y,-z'
loop_
_atom_site_label
_atom_site_fract_x
_atom_site_fract_y
_atom_site_fract_z
Pr1 0.000 0.000 0.000
Sm1 0.405 0.793 0.396
Sc1 0.196 0.406 0.202